The following is a DFT calculation (PBE+U) of an optimized crystal structure of BaAc4Fe3O12.

Geometry as extended XYZ:
```
20
Lattice="-4.375 4.375 4.375 4.375 -4.375 4.375 4.375 4.375 -4.375" Properties=species:S:1:pos:R:3 pbc="T T T"
Ba 0.000 0.000 0.000
Ac 2.187 2.187 -2.187
Ac 2.187 -2.187 2.187
Ac -2.187 2.187 2.187
Ac 2.187 2.187 2.187
Fe 4.375 0.000 0.000
Fe 0.000 4.375 0.000
Fe 0.000 0.000 4.375
O 2.953 0.000 1.265
O 5.797 0.000 1.265
O 4.375 3.110 -1.422
O 1.265 2.953 0.000
O 3.110 -1.422 4.375
O 0.000 1.265 2.953
O 4.375 3.110 1.422
O 1.265 5.797 0.000
O 3.110 1.422 4.375
O 0.000 1.265 5.797
O -1.422 4.375 3.110
O 1.422 4.375 3.110
```

Properties
For the density, the calculation gives 7.0 Mg/m³. The calculation puts the electronic total energy at -6.9901 eV per atom. The crystal system is cubic.